No. 1
DFT (PBE) results for an optimized crystal structure of CeTmAgPd.

Geometry as POSCAR:
```
CeTmAgPd
1.0
-3.4099 -0.1103 3.7694
1.3782 -1.5876 4.6290
0.3379 3.3246 3.8316
Ag Tm Pd Ce
1 1 1 1
Cartesian
-0.4235 0.4067 3.0575
-0.8469 0.8133 6.1150
-1.2704 1.2200 9.1725
0.0000 0.0000 0.0000
```

Values from the calculation:
electronic total energy	-0.37273	Ry per atom
magnetization	0.2068	μB/atom

No. 2
DFT (PBE) results for an optimized crystal structure of CeYAgPd.

Geometry as POSCAR:
```
CeYAgPd
1.0
5.1234 0.0000 0.0000
2.5617 4.4370 0.0000
2.5617 1.4790 4.1832
Ce Ag Pd Y
1 1 1 1
Cartesian
2.5617 1.4790 1.0458
0.0000 0.0000 0.0000
5.1234 2.9580 2.0916
7.6851 4.4370 3.1374
```

Values from the calculation:
electronic total energy	-0.40764	Ry per atom
magnetization	0.2204	μB/atom

No. 3
DFT (PBE) results for an optimized crystal structure of Ce2Zn2AgPd5.

Geometry as POSCAR:
```
Ce2Zn2AgPd5
1.0
3.8537 0.0000 0.0000
0.0000 9.7874 0.0000
0.0000 0.0000 9.7874
Ag Ce Zn Pd
2 4 4 10
Cartesian
0.0000 0.0000 0.0000
0.0000 4.8937 4.8937
0.0000 1.7649 3.1288
0.0000 8.0224 6.6586
0.0000 3.1288 8.0224
0.0000 6.6586 1.7649
0.0000 8.6406 3.7469
0.0000 1.1468 6.0405
0.0000 3.7469 1.1468
0.0000 6.0405 8.6406
1.9269 6.9150 4.2328
1.9269 5.5546 6.9150
1.9269 7.7660 9.1264
1.9269 0.6609 7.7660
1.9269 2.0213 0.6609
1.9269 0.0000 4.8937
1.9269 2.8724 5.5546
1.9269 4.2328 2.8724
1.9269 4.8937 0.0000
1.9269 9.1264 2.0213
```

Values from the calculation:
electronic total energy	-0.35493	Ry per atom
magnetization	0.1584	μB/atom

No. 4
DFT (PBE) results for an optimized crystal structure of CeZnAgPd.

Geometry as POSCAR:
```
CeZnAgPd
1.0
4.8545 0.0000 0.0000
2.4273 4.2041 0.0000
2.4273 1.4014 3.9637
Ce Ag Zn Pd
1 1 1 1
Cartesian
2.4273 1.4014 0.9909
4.8545 2.8028 1.9819
7.2818 4.2041 2.9728
0.0000 0.0000 0.0000
```

Values from the calculation:
electronic total energy	-0.30365	Ry per atom
magnetization	0.1506	μB/atom